The following is a PBE calculation of crystalline Ca2TiGa2 at its relaxed geometry, from the Alexandria database.

## Properties
Its density of states at the Fermi level is 0.7153 states/eV per atom. The value obtained for the volume is 24.3 A^3/atom. The calculation puts the formation enthalpy at 0 K at -0.15 eV/atom.

Cell: 7.162 7.162 4.744 Å, 90.00 90.00 90.00°
Space group P4/mbm (No. 127)
One atom of each set of equivalent atoms:
Ca 0.173 0.327 0.000
Ti 0.000 0.000 0.500
Ga 0.134 0.634 0.500

---

The following is a PBE calculation of crystalline CaTi3Ga at its relaxed geometry, from the Alexandria database.

## Properties
The energy above the lowest structure with this stoichiometry comes out at 1070 meV per atom. Its density of states at the Fermi level is 1.0919 states/eV per atom. The value obtained for the volume is 20.4 A^3/atom. The calculation puts the formation enthalpy at 0 K at 1.61 eV/atom.

Cell: 4.672 4.672 4.672 Å, 90.00 90.00 90.00°
Space group Pm-3m (No. 221)
One atom of each set of equivalent atoms:
Ca 0.000 0.000 0.000
Ti 0.000 0.000 0.500
Ga 0.500 0.500 0.500

---

The following is a PBE calculation of crystalline CaTiGa at its relaxed geometry, from the Alexandria database.

## Properties
Its density of states at the Fermi level is 1.1587 states/eV per atom. The value obtained for the volume is 21.5 A^3/atom. The calculation puts the formation enthalpy at 0 K at -0.03 eV/atom.

Cell: 4.344 4.364 13.635 Å, 90.00 90.00 90.00°
Space group Cmmm (No. 65)
One atom of each set of equivalent atoms:
Ca 0.000 0.000 0.170
Ti 0.000 0.500 0.375
Ga 0.000 0.000 0.500
Ga 0.000 0.500 0.000

---

Repeat the first record exactly.
The following is a PBE calculation of crystalline Ca2TiGa2 at its relaxed geometry, from the Alexandria database.

## Properties
Its density of states at the Fermi level is 0.7153 states/eV per atom. The value obtained for the volume is 24.3 A^3/atom. The calculation puts the formation enthalpy at 0 K at -0.15 eV/atom.

Cell: 7.162 7.162 4.744 Å, 90.00 90.00 90.00°
Space group P4/mbm (No. 127)
One atom of each set of equivalent atoms:
Ca 0.173 0.327 0.000
Ti 0.000 0.000 0.500
Ga 0.134 0.634 0.500